# 1
First-principles (PBE-GGA) data for a relaxed structure of CaW3Cl, as listed in Alexandria via LeMat-Bulk.

Structure (extended XYZ):
```
5
Lattice="-1.864 0.411 -4.392 -0.833 -4.715 -0.088 -4.332 0.730 1.907" Properties=species:S:1:pos:R:3 pbc="T T T"
Ca 0.000 0.000 0.000
W -0.417 -2.358 -0.044
W -2.166 0.365 0.954
W -0.932 0.206 -2.196
Cl -3.515 -1.787 -1.286
```

Output
Total magnetic moment ... 0.0 μB per cell
Energy above the lowest structure with this stoichiometry ... 2168 meV/atom
Theoretical density ... 9.48 g/cm3

***

# 2
First-principles (PBE-GGA) data for a relaxed structure of Ba2Cu2Ag, as listed in Alexandria via LeMat-Bulk.

Structure (extended XYZ):
```
5
Lattice="6.212 0.000 0.000 0.000 6.212 0.000 3.106 3.106 3.920" Properties=species:S:1:pos:R:3 pbc="T T T"
Cu 3.106 3.106 1.195
Cu 6.212 6.212 2.725
Ba 6.212 3.106 1.960
Ba 3.106 6.212 1.960
Ag 0.000 0.000 0.000
```

Output
Total magnetic moment ... 0.0 μB per cell
Energy above the lowest structure with this stoichiometry ... 63 meV/atom
Theoretical density ... 5.59 g/cm3

***

# 3
First-principles (PBE-GGA) data for a relaxed structure of Pm3Nd12Zn, as listed in Alexandria via LeMat-Bulk.

Structure (extended XYZ):
```
16
Lattice="5.107 0.000 0.000 0.000 5.107 0.000 0.000 0.000 20.631" Properties=species:S:1:pos:R:3 pbc="T T T"
Pm 0.000 0.000 5.042
Pm 0.000 0.000 10.316
Pm 0.000 0.000 15.589
Nd 2.554 2.554 0.000
Nd 2.554 2.554 4.995
Nd 2.554 2.554 10.316
Nd 2.554 2.554 15.636
Nd 2.554 0.000 2.412
Nd 2.554 0.000 7.676
Nd 2.554 0.000 12.956
Nd 2.554 0.000 18.219
Nd 0.000 2.554 2.412
Nd 0.000 2.554 7.676
Nd 0.000 2.554 12.956
Nd 0.000 2.554 18.219
Zn 0.000 0.000 0.000
```

Output
E_tot ... -4.532 eV per atom
Total magnetic moment ... 0.0 μB per cell
Theoretical density ... 6.89 g/cm3

***

# 4
First-principles (PBE-GGA) data for a relaxed structure of Sr2In7Pd, as listed in Alexandria via LeMat-Bulk.

Structure (extended XYZ):
```
10
Lattice="-2.647 -3.596 1.693 3.964 -2.533 0.818 0.727 4.787 11.303" Properties=species:S:1:pos:R:3 pbc="T T T"
Sr -0.765 1.877 9.525
Sr 2.151 -0.155 3.034
In 2.619 2.929 10.316
In -1.066 -0.104 4.847
In -1.234 -1.207 2.243
In 2.452 1.826 7.712
In 0.363 2.393 5.652
In 0.000 0.000 0.000
In 1.022 -0.671 6.907
Pd 0.659 -3.064 1.255
```

Output
E_tot ... -3.104 eV per atom
Total magnetic moment ... 0.0 μB per cell
Theoretical density ... 6.43 g/cm3

***

# 5
First-principles (PBE-GGA) data for a relaxed structure of AlZn2S, as listed in Alexandria via LeMat-Bulk.

Structure (extended XYZ):
```
4
Lattice="-3.078 -3.036 1.734 -1.736 0.629 4.276 -4.453 1.253 0.545" Properties=species:S:1:pos:R:3 pbc="T T T"
Zn -2.317 -0.289 1.639
Zn -6.951 -0.866 4.916
S -4.634 -0.577 3.277
Al 0.000 0.000 0.000
```

Output
Total magnetic moment ... 0.0 μB per cell
Energy above the lowest structure with this stoichiometry ... 310 meV/atom
Theoretical density ... 4.41 g/cm3

***

# 6
First-principles (PBE-GGA) data for a relaxed structure of LiBH2Au, as listed in Alexandria via LeMat-Bulk.

Structure (extended XYZ):
```
5
Lattice="-0.254 -0.670 3.338 2.514 -3.547 -0.521 2.783 1.886 0.591" Properties=species:S:1:pos:R:3 pbc="T T T"
H 1.392 0.943 0.296
H -0.127 -0.335 1.669
B 0.000 0.000 0.000
Au 1.257 -1.774 -0.260
Li 2.522 -1.166 1.704
```

Output
Total magnetic moment ... 0.0 μB per cell
Energy above the lowest structure with this stoichiometry ... 0 meV/atom
Theoretical density ... 7.05 g/cm3

***

# 7
First-principles (PBE-GGA) data for a relaxed structure of NiSn4Pd, as listed in Alexandria via LeMat-Bulk.

Structure (extended XYZ):
```
12
Lattice="-3.589 -1.891 3.642 4.802 0.500 4.991 -2.162 6.508 1.428" Properties=species:S:1:pos:R:3 pbc="T T T"
Ni -2.876 2.308 2.535
Ni 1.320 3.504 3.209
Sn -0.678 -0.411 6.797
Sn -3.201 4.465 3.906
Sn -0.544 1.723 3.794
Sn 2.411 4.446 5.508
Sn -0.272 5.528 3.264
Sn 2.251 0.653 6.155
Sn -0.406 3.394 6.267
Sn -3.361 0.671 4.553
Pd 0.000 0.000 0.000
Pd 0.606 -0.695 4.317
```

Output
Total magnetic moment ... 0.0 μB per cell
Energy above the lowest structure with this stoichiometry ... 86 meV/atom
Theoretical density ... 8.02 g/cm3

***

# 8
First-principles (PBE-GGA) data for a relaxed structure of NaSc3Tc, as listed in Alexandria via LeMat-Bulk.

Structure (extended XYZ):
```
5
Lattice="5.118 0.000 0.000 0.000 5.118 0.000 0.000 0.000 5.118" Properties=species:S:1:pos:R:3 pbc="T T T"
Sc 0.000 2.559 0.000
Sc 0.000 0.000 2.559
Sc 2.559 0.000 0.000
Na 2.559 2.559 2.559
Tc 0.000 0.000 0.000
```

Output
Total magnetic moment ... 0.0 μB per cell
Energy above the lowest structure with this stoichiometry ... 0 meV/atom
Theoretical density ... 3.17 g/cm3

***

# 9
First-principles (PBE-GGA) data for a relaxed structure of ScWBr2, as listed in Alexandria via LeMat-Bulk.

Structure (extended XYZ):
```
4
Lattice="-2.183 1.460 -1.772 1.176 -1.388 -2.593 -5.733 -7.109 1.205" Properties=species:S:1:pos:R:3 pbc="T T T"
Br -5.274 -6.540 1.109
Br -2.349 -2.253 -1.794
Sc -2.963 -3.674 0.623
W -4.753 -5.234 -1.289
```

Output
Total magnetic moment ... 0.0 μB per cell
Energy above the lowest structure with this stoichiometry ... 188 meV/atom
Theoretical density ... 6.98 g/cm3

***

# 10
First-principles (PBE-GGA) data for a relaxed structure of AlZnP3, as listed in Alexandria via LeMat-Bulk.

Structure (extended XYZ):
```
5
Lattice="-2.170 1.378 3.855 1.085 -4.013 2.045 3.947 1.861 1.557" Properties=species:S:1:pos:R:3 pbc="T T T"
P 0.543 -2.007 1.023
P 1.973 0.930 0.778
P -1.085 0.689 1.927
Zn 1.431 -0.387 3.728
Al 0.000 0.000 0.000
```

Output
Total magnetic moment ... 0.0 μB per cell
Energy above the lowest structure with this stoichiometry ... 0 meV/atom
Theoretical density ... 3.09 g/cm3

***

# 11
First-principles (PBE-GGA) data for a relaxed structure of ThFeCoAs2, as listed in Alexandria via LeMat-Bulk.

Structure (extended XYZ):
```
5
Lattice="3.927 0.000 0.000 0.000 3.927 0.000 -1.964 -1.964 5.465" Properties=species:S:1:pos:R:3 pbc="T T T"
Th 0.000 0.000 0.000
Fe 1.964 0.000 2.732
Co 0.000 1.964 2.732
As 1.964 1.964 1.483
As 0.000 0.000 3.982
```

Output
E_tot ... -7.109 eV per atom
Total magnetic moment ... 0.0 μB per cell
Theoretical density ... 9.78 g/cm3

***

# 12
First-principles (PBE-GGA) data for a relaxed structure of CeMg2Pd, as listed in Alexandria via LeMat-Bulk.

Structure (extended XYZ):
```
32
Lattice="-4.271 -0.724 -3.514 5.231 0.134 -6.384 1.760 -15.765 1.110" Properties=species:S:1:pos:R:3 pbc="T T T"
Ce -0.381 -2.466 -3.032
Ce 0.494 -6.299 -7.732
Ce 3.101 -13.889 -5.756
Ce 2.226 -10.055 -1.056
Ce -1.212 -6.739 -3.803
Ce 3.028 -1.737 -5.560
Ce 3.932 -9.616 -4.986
Ce -0.308 -14.617 -3.229
Mg -3.414 -4.043 -3.467
Mg 3.508 -4.725 -7.313
Mg 4.092 -12.364 -2.829
Mg 1.253 -11.577 -3.968
Mg 6.134 -12.312 -5.321
Mg -0.788 -11.629 -1.476
Mg -1.372 -3.991 -5.959
Mg 1.467 -4.778 -4.820
Mg -0.259 -1.087 -6.163
Mg 2.039 -7.396 -3.229
Mg 0.944 -15.320 -0.141
Mg 2.716 -8.907 -8.043
Mg 2.979 -15.268 -2.625
Mg 0.681 -8.959 -5.559
Mg 1.776 -1.035 -8.647
Mg 0.004 -7.448 -0.745
Pd 0.816 -5.125 -2.108
Pd 1.064 -3.341 -7.203
Pd 1.904 -11.230 -6.681
Pd 1.656 -13.014 -1.585
Pd -2.698 -1.764 -4.915
Pd 2.688 -7.022 -5.950
Pd 5.418 -14.591 -3.873
Pd 0.032 -9.332 -2.838
```

Output
E_tot ... -3.997 eV per atom
Total magnetic moment ... 7.8 μB per cell
Theoretical density ... 5.36 g/cm3

***

> Which value of theoretical density does entry 11 give?

9.78 g/cm3